A geometry-optimized Be2CrIrO8 structure, computed with GGA+U.

Computed properties:
For the density of states at the Fermi level, the calculation gives 3.9 states/eV per cell. For the total magnetization, the calculation gives 2.78 μB/cell. Its total DFT energy (no corrections) is -6.108 eV per atom.

```
Be2CrIrO8
1.0
4.548 0.000 0.000
-2.274 3.938 0.000
0.000 0.000 7.043
Be Cr Ir O
2 1 1 8
direct
0.667 0.333 0.256
0.333 0.667 0.744
0.000 0.000 0.000
0.000 0.000 0.500
0.333 0.667 0.971
0.334 0.318 0.341
0.682 0.016 0.341
0.667 0.333 0.029
0.318 0.984 0.659
0.666 0.682 0.659
0.016 0.334 0.659
0.984 0.666 0.341
```